No. 1
Entry from Alexandria: a relaxed structure of Pr3TmCd2 (PBE-GGA).

Computed properties:
Its formation energy is -1.11 eV/f.u. As for the energy above the most stable polymorph in this dataset: 0 meV per atom. For the spin magnetization, the calculation gives 0.046 μB per atom. The value obtained for the total energy is -3.625 eV per atom. Its crystal system is tetragonal.

Cell lengths 3.8093, 3.8093, 12.7005 Å; angles 90.00, 90.00, 90.00 degrees
Closest atoms and distances in Å follow each position.
Atoms (fractional coordinates):
Pr1 0.0000 0.0000 0.0000  8 Cd 3.36
Pr2 0.0000 0.0000 0.3133  4 Cd 3.33, 4 Tm 3.59
Pr3 0.0000 0.0000 0.6867  4 Cd 3.33, 4 Tm 3.59
Tm1 0.5000 0.5000 0.5000  8 Pr 3.59, 4 Tm 3.81
Cd1 0.5000 0.5000 0.1587  8 Pr 3.33-3.36
Cd2 0.5000 0.5000 0.8413  8 Pr 3.33-3.36



No. 2
Entry from Alexandria: a relaxed structure of Pr2TmCd6 (PBE-GGA).

Computed properties:
Its formation energy is -2.90 eV/f.u. For the spin magnetization, the calculation gives 0.042 μB per atom. The value obtained for the total energy is -2.492 eV per atom. Its crystal system is hexagonal.

Cell lengths 8.7762, 8.7762, 3.4396 Å; angles 90.00, 90.00, 120.00 degrees
Closest atoms and distances in Å follow each position.
Atoms (fractional coordinates):
Pr1 0.3333 0.6667 0.0000  12 Cd 3.41, 2 Pr 3.44
Pr2 0.6667 0.3333 0.0000  12 Cd 3.41, 2 Pr 3.44
Tm1 0.0000 0.0000 0.0000  12 Cd 3.36, 2 Tm 3.44
Cd1 0.0000 0.3284 0.5000  3 Cd 2.88-3.01
Cd2 0.0000 0.6716 0.5000  3 Cd 2.88-3.01
Cd3 0.3284 0.0000 0.5000  3 Cd 2.88-3.01
Cd4 0.3284 0.3284 0.5000  3 Cd 2.88-3.01
Cd5 0.6716 0.0000 0.5000  3 Cd 2.88-3.01
Cd6 0.6716 0.6716 0.5000  3 Cd 2.88-3.01



No. 3
Entry from Alexandria: a relaxed structure of Pr3Tm2Cd2 (PBE-GGA).

Computed properties:
Its formation energy is -0.43 eV/f.u. As for the energy above the most stable polymorph in this dataset: 72 meV per atom. For the spin magnetization, the calculation gives 0.061 μB per atom. The value obtained for the total energy is -3.649 eV per atom. Its crystal system is orthorhombic.

Cell lengths 5.1748, 23.1171, 3.5365 Å; angles 90.00, 90.00, 90.00 degrees
Closest atoms and distances in Å follow each position.
Atoms (fractional coordinates):
Pr1 0.0000 0.0000 0.0000  4 Pr 3.43-3.54, 8 Cd 3.53
Pr2 0.0000 0.1485 0.0000  3 Pr 3.43-3.54, 6 Tm 3.45-3.71, 4 Cd 3.62
Pr3 0.0000 0.8515 0.0000  3 Pr 3.43-3.54, 6 Tm 3.45-3.71, 4 Cd 3.62
Pr4 0.5000 0.3515 0.0000  3 Pr 3.43-3.54, 6 Tm 3.45-3.71, 4 Cd 3.62
Pr5 0.5000 0.5000 0.0000  4 Pr 3.43-3.54, 8 Cd 3.53
Pr6 0.5000 0.6485 0.0000  3 Pr 3.43-3.54, 6 Tm 3.45-3.71, 4 Cd 3.62
Tm1 0.0000 0.2895 0.5000  4 Tm 3.17-3.54, 1 Cd 3.25, 4 Pr 3.45
Tm2 0.0000 0.7105 0.5000  4 Tm 3.17-3.54, 1 Cd 3.25, 4 Pr 3.45
Tm3 0.5000 0.2105 0.5000  4 Tm 3.17-3.54, 1 Cd 3.25, 4 Pr 3.45
Tm4 0.5000 0.7895 0.5000  4 Tm 3.17-3.54, 1 Cd 3.25, 4 Pr 3.45
Cd1 0.0000 0.4300 0.5000  3 Cd 3.24-3.54, 1 Tm 3.25, 8 Pr 3.53-3.62
Cd2 0.0000 0.5700 0.5000  3 Cd 3.24-3.54, 1 Tm 3.25, 8 Pr 3.53-3.62
Cd3 0.5000 0.0700 0.5000  3 Cd 3.24-3.54, 1 Tm 3.25, 8 Pr 3.53-3.62
Cd4 0.5000 0.9300 0.5000  3 Cd 3.24-3.54, 1 Tm 3.25, 8 Pr 3.53-3.62



No. 4
Entry from Alexandria: a relaxed structure of Pr3Tm12Cd (PBE-GGA).

Computed properties:
Its formation energy is 0.11 eV/f.u. For the spin magnetization, the calculation gives 0.000 μB per atom. The value obtained for the total energy is -4.300 eV per atom. Its crystal system is tetragonal.

Cell lengths 4.9549, 4.9549, 19.8952 Å; angles 90.00, 90.00, 90.00 degrees
Closest atoms and distances in Å follow each position.
Atoms (fractional coordinates):
Pr1 0.0000 0.0000 0.0000  12 Tm 3.50-3.54
Pr2 0.0000 0.0000 0.2526  12 Tm 3.51-3.56
Pr3 0.0000 0.0000 0.7474  12 Tm 3.51-3.56
Tm1 0.0000 0.5000 0.1274  8 Tm 3.50-3.59, 4 Pr 3.51-3.54
Tm2 0.0000 0.5000 0.3810  2 Cd 3.43, 8 Tm 3.43-3.50, 2 Pr 3.56
Tm3 0.0000 0.5000 0.6190  2 Cd 3.43, 8 Tm 3.43-3.50, 2 Pr 3.56
Tm4 0.0000 0.5000 0.8726  8 Tm 3.50-3.59, 4 Pr 3.51-3.54
Tm5 0.5000 0.0000 0.1274  8 Tm 3.50-3.59, 4 Pr 3.51-3.54
Tm6 0.5000 0.0000 0.3810  2 Cd 3.43, 8 Tm 3.43-3.50, 2 Pr 3.56
Tm7 0.5000 0.0000 0.6190  2 Cd 3.43, 8 Tm 3.43-3.50, 2 Pr 3.56
Tm8 0.5000 0.0000 0.8726  8 Tm 3.50-3.59, 4 Pr 3.51-3.54
Tm9 0.5000 0.5000 0.0000  4 Pr 3.50, 8 Tm 3.54
Tm10 0.5000 0.5000 0.2578  8 Tm 3.49-3.59, 4 Pr 3.51
Tm11 0.5000 0.5000 0.5000  8 Tm 3.43, 4 Cd 3.50
Tm12 0.5000 0.5000 0.7422  8 Tm 3.49-3.59, 4 Pr 3.51
Cd1 0.0000 0.0000 0.5000  12 Tm 3.43-3.50



No. 5
Entry from Alexandria: a relaxed structure of Pr2TmCd2 (PBE-GGA).

Computed properties:
Its formation energy is -0.92 eV/f.u. As for the energy above the most stable polymorph in this dataset: 49 meV per atom. For the spin magnetization, the calculation gives 0.000 μB per atom. The value obtained for the total energy is -3.357 eV per atom. Its crystal system is orthorhombic.

Cell lengths 5.0222, 7.0477, 8.4547 Å; angles 90.00, 90.00, 90.00 degrees
Closest atoms and distances in Å follow each position.
Atoms (fractional coordinates):
Pr1 0.0000 0.0000 0.1957  6 Cd 3.27-3.36, 1 Pr 3.31, 2 Tm 3.60
Pr2 0.0000 0.0000 0.8043  6 Cd 3.27-3.36, 1 Pr 3.31, 2 Tm 3.60
Pr3 0.5000 0.5000 0.3043  6 Cd 3.27-3.36, 1 Pr 3.31, 2 Tm 3.60
Pr4 0.5000 0.5000 0.6957  6 Cd 3.27-3.36, 1 Pr 3.31, 2 Tm 3.60
Tm1 0.0000 0.5000 0.0000  4 Cd 3.22, 4 Pr 3.60
Tm2 0.5000 0.0000 0.5000  4 Cd 3.22, 4 Pr 3.60
Cd1 0.0000 0.2860 0.5000  1 Cd 3.02, 2 Tm 3.22, 6 Pr 3.27-3.36
Cd2 0.0000 0.7140 0.5000  1 Cd 3.02, 2 Tm 3.22, 6 Pr 3.27-3.36
Cd3 0.5000 0.2140 0.0000  1 Cd 3.02, 2 Tm 3.22, 6 Pr 3.27-3.36
Cd4 0.5000 0.7860 0.0000  1 Cd 3.02, 2 Tm 3.22, 6 Pr 3.27-3.36



No. 6
Entry from Alexandria: a relaxed structure of PrTm8Cd2 (PBE-GGA).

Computed properties:
Its formation energy is 0.52 eV/f.u. For the spin magnetization, the calculation gives 0.000 μB per atom. The value obtained for the total energy is -3.805 eV per atom. Its crystal system is monoclinic.

Cell lengths 8.6161, 8.6161, 5.5187 Å; angles 100.85, 100.85, 119.18 degrees
Closest atoms and distances in Å follow each position.
Atoms (fractional coordinates):
Pr1 0.0000 0.0000 0.0000  12 Tm 3.28-3.67
Tm1 0.0939 0.3213 0.6166  2 Cd 3.09-3.33, 2 Tm 3.36-3.38
Tm2 0.2234 0.7766 0.0000  2 Cd 3.02, 1 Pr 3.32
Tm3 0.3213 0.0939 0.6166  2 Cd 3.09-3.33, 2 Tm 3.36-3.38
Tm4 0.4041 0.4041 0.2031  2 Tm 3.08-3.26, 2 Cd 3.26, 1 Pr 3.28
Tm5 0.5959 0.5959 0.7969  2 Tm 3.08-3.26, 2 Cd 3.26, 1 Pr 3.28
Tm6 0.6787 0.9061 0.3834  2 Cd 3.09-3.33, 2 Tm 3.36-3.38
Tm7 0.7766 0.2234 0.0000  2 Cd 3.02, 1 Pr 3.32
Tm8 0.9061 0.6787 0.3834  2 Cd 3.09-3.33, 2 Tm 3.36-3.38
Cd1 0.3068 0.6932 0.5000  8 Tm 3.02-3.33
Cd2 0.6932 0.3068 0.5000  8 Tm 3.02-3.33



No. 7
Entry from Alexandria: a relaxed structure of Pr8Tm4Cd (PBE-GGA).

Computed properties:
Its formation energy is 1.45 eV/f.u. For the spin magnetization, the calculation gives 0.000 μB per atom. The value obtained for the total energy is -4.276 eV per atom. Its crystal system is trigonal.

Cell lengths 10.9270, 10.9270, 10.9270 Å; angles 38.64, 38.64, 38.64 degrees
Closest atoms and distances in Å follow each position.
Atoms (fractional coordinates):
Pr1 0.2255 0.2255 0.2255  6 Pr 3.65, 3 Tm 3.88
Pr2 0.2347 0.7439 0.7439  1 Cd 3.09
Pr3 0.2561 0.2561 0.7653  1 Cd 3.09
Pr4 0.2561 0.7653 0.2561  1 Cd 3.09
Pr5 0.7439 0.2347 0.7439  1 Cd 3.09
Pr6 0.7439 0.7439 0.2347  1 Cd 3.09
Pr7 0.7653 0.2561 0.2561  1 Cd 3.09
Pr8 0.7745 0.7745 0.7745  6 Pr 3.65, 3 Tm 3.88
Tm1 0.0000 0.0000 0.0000  6 Pr 3.47, 6 Tm 3.62
Tm2 0.0000 0.5000 0.5000  6 Pr 3.51-3.88, 6 Tm 3.62
Tm3 0.5000 0.0000 0.5000  6 Pr 3.51-3.88, 6 Tm 3.62
Tm4 0.5000 0.5000 0.0000  6 Pr 3.51-3.88, 6 Tm 3.62
Cd1 0.5000 0.5000 0.5000  6 Pr 3.09



No. 8
Entry from Alexandria: a relaxed structure of PrTmCd3 (PBE-GGA).

Computed properties:
Its formation energy is -1.52 eV/f.u. For the spin magnetization, the calculation gives 0.000 μB per atom. The value obtained for the total energy is -2.704 eV per atom. Its crystal system is orthorhombic.

Cell lengths 14.9497, 14.9497, 5.0315 Å; angles 90.00, 90.00, 166.59 degrees
Closest atoms and distances in Å follow each position.
Atoms (fractional coordinates):
Pr1 0.0755 0.9245 0.7500  12 Cd 3.39-3.54, 2 Pr 3.49
Pr2 0.9245 0.0755 0.2500  12 Cd 3.39-3.54, 2 Pr 3.49
Tm1 0.2152 0.7848 0.2500  7 Cd 3.14-3.24, 2 Tm 3.49
Tm2 0.7848 0.2152 0.7500  7 Cd 3.14-3.24, 2 Tm 3.49
Cd1 0.3209 0.6791 0.2500  2 Cd 2.99, 5 Tm 3.14-3.24
Cd2 0.3756 0.6244 0.7500  3 Cd 2.97-2.99, 2 Tm 3.21
Cd3 0.4754 0.5246 0.7500  3 Cd 2.91-2.97
Cd4 0.5246 0.4754 0.2500  3 Cd 2.91-2.97
Cd5 0.6244 0.3756 0.2500  3 Cd 2.97-2.99, 2 Tm 3.21
Cd6 0.6791 0.3209 0.7500  2 Cd 2.99, 5 Tm 3.14-3.24



No. 9
Entry from Alexandria: a relaxed structure of PrTm2Cd (PBE-GGA).

Computed properties:
Its formation energy is -0.59 eV/f.u. As for the energy above the most stable polymorph in this dataset: 0 meV per atom. For the spin magnetization, the calculation gives 0.000 μB per atom. The value obtained for the total energy is -3.807 eV per atom. Its crystal system is tetragonal.

Cell lengths 3.6079, 3.6079, 8.9953 Å; angles 90.00, 90.00, 90.00 degrees
Closest atoms and distances in Å follow each position.
Atoms (fractional coordinates):
Pr1 0.0000 0.0000 0.0000  8 Tm 3.60, 4 Pr 3.61
Tm1 0.5000 0.5000 0.2821  4 Cd 3.22, 4 Pr 3.60
Tm2 0.5000 0.5000 0.7179  4 Cd 3.22, 4 Pr 3.60
Cd1 0.0000 0.0000 0.5000  8 Tm 3.22



No. 10
Entry from Alexandria: a relaxed structure of Pr5TmCd4 (PBE-GGA).

Computed properties:
Its formation energy is -2.37 eV/f.u. For the spin magnetization, the calculation gives 0.097 μB per atom. The value obtained for the total energy is -3.440 eV per atom. Its crystal system is tetragonal.

Cell lengths 3.8348, 3.8348, 20.5148 Å; angles 90.00, 90.00, 90.00 degrees
Closest atoms and distances in Å follow each position.
Atoms (fractional coordinates):
Pr1 0.0000 0.0000 0.0000  8 Cd 3.35
Pr2 0.0000 0.0000 0.1922  8 Cd 3.35-3.38
Pr3 0.0000 0.0000 0.3855  4 Cd 3.34, 4 Tm 3.59
Pr4 0.0000 0.0000 0.6145  4 Cd 3.34, 4 Tm 3.59
Pr5 0.0000 0.0000 0.8078  8 Cd 3.35-3.38
Tm1 0.5000 0.5000 0.5000  8 Pr 3.59, 4 Tm 3.83
Cd1 0.5000 0.5000 0.0962  8 Pr 3.35
Cd2 0.5000 0.5000 0.2906  8 Pr 3.34-3.38
Cd3 0.5000 0.5000 0.7094  8 Pr 3.34-3.38
Cd4 0.5000 0.5000 0.9038  8 Pr 3.35